First-principles (PBE) data for TiBiP2N after structural relaxation, as listed in Alexandria via LeMat-Bulk.

Calculated values
Spin magnetization, μB/f.u.: 0.0
Theoretical density, Mg/m³: 5.9
Uncorrected formation energy, eV per atom: 0.22
SG: P4/mmm

Cell lengths 4.9815, 4.9815, 3.8022 Å; angles 90.00, 90.00, 90.00 degrees
Fractional coordinates of all 5 atoms:
Ti 0.0000 0.0000 0.0000
Bi 0.5000 0.5000 0.5000
P 0.0000 0.5000 0.0000
P 0.5000 0.0000 0.0000
N 0.0000 0.0000 0.5000

---

First-principles (PBE) data for TiBiPN2 after structural relaxation, as listed in Alexandria via LeMat-Bulk.

Calculated values
Spin magnetization, μB/f.u.: 0.9
Theoretical density, Mg/m³: 5.5
Uncorrected formation energy, eV per atom: 0.68
SG: P4/mmm

Cell lengths 3.9148, 3.9148, 6.2072 Å; angles 90.00, 90.00, 90.00 degrees
Fractional coordinates of all 5 atoms:
Ti 0.0000 0.0000 0.0000
Bi 0.0000 0.0000 0.5000
P 0.5000 0.5000 0.5000
N 0.0000 0.5000 0.0000
N 0.5000 0.0000 0.0000

---

First-principles (PBE) data for Tm3BiPN after structural relaxation, as listed in Alexandria via LeMat-Bulk.

Calculated values
Spin magnetization, μB/f.u.: 0.0
Theoretical density, Mg/m³: 8.2
Uncorrected formation energy, eV per atom: -1.24
SG: P2_1/m

Cell lengths 8.7239, 3.9867, 9.1155 Å; angles 90.00, 102.90, 90.00 degrees
Fractional coordinates of all 12 atoms:
Tm 0.0699 0.2500 0.3547
Tm 0.3465 0.2500 0.9841
Tm 0.3736 0.7500 0.6636
Tm 0.6264 0.2500 0.3364
Tm 0.6535 0.7500 0.0159
Tm 0.9301 0.7500 0.6453
Bi 0.3197 0.7500 0.2840
Bi 0.6803 0.2500 0.7160
P 0.1491 0.2500 0.6586
P 0.8509 0.7500 0.3414
N 0.4071 0.7500 0.8995
N 0.5929 0.2500 0.1005

---

First-principles (PBE) data for Y3BiPN after structural relaxation, as listed in Alexandria via LeMat-Bulk.

Calculated values
Spin magnetization, μB/f.u.: 0.0
Theoretical density, Mg/m³: 5.4
Uncorrected formation energy, eV per atom: -1.25
SG: P2_1/m

Cell lengths 8.8104, 4.0687, 9.2426 Å; angles 90.00, 102.95, 90.00 degrees
Fractional coordinates of all 12 atoms:
Y 0.0693 0.2500 0.3527
Y 0.3444 0.2500 0.9821
Y 0.3769 0.7500 0.6617
Y 0.6231 0.2500 0.3383
Y 0.6556 0.7500 0.0179
Y 0.9307 0.7500 0.6473
Bi 0.3178 0.7500 0.2821
Bi 0.6822 0.2500 0.7179
P 0.1503 0.2500 0.6565
P 0.8497 0.7500 0.3435
N 0.4074 0.7500 0.8984
N 0.5926 0.2500 0.1016

---

First-principles (PBE) data for Pa4Bi2N after structural relaxation, as listed in Alexandria via LeMat-Bulk.

Calculated values
Spin magnetization, μB/f.u.: 0.0
Theoretical density, Mg/m³: 12.6
Uncorrected formation energy, eV per atom: -0.48
SG: I4/mmm

Cell lengths 4.7158, 4.7158, 16.1233 Å; angles 90.00, 90.00, 90.00 degrees
Fractional coordinates of all 14 atoms:
Pa 0.0000 0.0000 0.1462
Pa 0.0000 0.0000 0.8538
Pa 0.0000 0.5000 0.0000
Pa 0.0000 0.5000 0.5000
Pa 0.5000 0.0000 0.0000
Pa 0.5000 0.0000 0.5000
Pa 0.5000 0.5000 0.3538
Pa 0.5000 0.5000 0.6462
Bi 0.0000 0.0000 0.3490
Bi 0.0000 0.0000 0.6510
Bi 0.5000 0.5000 0.1510
Bi 0.5000 0.5000 0.8490
N 0.0000 0.0000 0.0000
N 0.5000 0.5000 0.5000

---

First-principles (PBE) data for Pa2BiN4 after structural relaxation, as listed in Alexandria via LeMat-Bulk.

Calculated values
Spin magnetization, μB/f.u.: 0.0
Theoretical density, Mg/m³: 9.9
Uncorrected formation energy, eV per atom: -0.92
SG: Cmcm

Cell lengths 6.1050, 6.1050, 11.5621 Å; angles 90.00, 90.00, 145.67 degrees
Fractional coordinates of all 14 atoms:
Pa 0.1362 0.8638 0.5648
Pa 0.1362 0.8638 0.9352
Pa 0.8638 0.1362 0.0648
Pa 0.8638 0.1362 0.4352
Bi 0.4353 0.5647 0.7500
Bi 0.5647 0.4353 0.2500
N 0.0574 0.9426 0.7500
N 0.2544 0.7456 0.0887
N 0.2544 0.7456 0.4113
N 0.5000 0.5000 0.0000
N 0.5000 0.5000 0.5000
N 0.7456 0.2544 0.5887
N 0.7456 0.2544 0.9113
N 0.9426 0.0574 0.2500

---

First-principles (PBE) data for PaBiN after structural relaxation, as listed in Alexandria via LeMat-Bulk.

Calculated values
Spin magnetization, μB/f.u.: 0.3
Theoretical density, Mg/m³: 11.3
Uncorrected formation energy, eV per atom: -0.73
SG: I4mm

Cell lengths 3.2423, 3.2423, 12.7326 Å; angles 90.00, 90.00, 90.00 degrees
Fractional coordinates of all 6 atoms:
Pa 0.0000 0.0000 0.0000
Pa 0.5000 0.5000 0.5000
Bi 0.0000 0.0000 0.2737
Bi 0.5000 0.5000 0.7737
N 0.0000 0.0000 0.5396
N 0.5000 0.5000 0.0396

---

First-principles (PBE) data for PaBiN after structural relaxation, as listed in Alexandria via LeMat-Bulk.

Calculated values
Spin magnetization, μB/f.u.: 0.0
Theoretical density, Mg/m³: 11.8
Uncorrected formation energy, eV per atom: -1.14
SG: P4/nmm

Cell lengths 4.0160, 4.0160, 7.9029 Å; angles 90.00, 90.00, 90.00 degrees
Fractional coordinates of all 6 atoms:
Pa 0.2500 0.2500 0.1435
Pa 0.7500 0.7500 0.8565
Bi 0.2500 0.2500 0.6161
Bi 0.7500 0.7500 0.3839
N 0.2500 0.7500 0.0000
N 0.7500 0.2500 0.0000

---

Number 1: electronic total energy -5.97 eV per atom. Number 2: electronic total energy -6.09 eV per atom. Number 3: electronic total energy -6.41 eV per atom. Number 4: electronic total energy -7.42 eV per atom. Number 5: electronic total energy -8.20 eV per atom. Number 6: electronic total energy -8.95 eV per atom. Number 7: electronic total energy -7.96 eV per atom. Number 8: electronic total energy -8.37 eV per atom.